This record from Alexandria via LeMat-Bulk describes RbMgSnHg3 after structural relaxation. The functional is PBE-GGA.

Lattice parameters (Å, degrees): 7.4937 7.3685 8.1099 117.02 90.00 90.00
Last column: nearest neighbours and their distance in Å.
Fractional positions:
Rb 0.7500 0.2840 0.5679  8 Hg 3.73-4.06, 1 Mg 3.87, 2 Sn 4.01
Hg 0.2500 0.1764 0.3529  1 Mg 2.78, 1 Sn 2.98
Hg 0.5000 0.7163 0.0000  2 Mg 2.82, 2 Sn 2.99
Mg 0.2500 0.9838 0.9676  5 Hg 2.78-2.82
Hg 0.0000 0.7163 0.0000  2 Mg 2.82, 2 Sn 2.99
Hg 0.5000 0.2837 0.0000  2 Mg 2.82, 2 Sn 2.99
Sn 0.7500 0.6175 0.2350  5 Hg 2.98-2.99
Mg 0.7500 0.0162 0.0324  5 Hg 2.78-2.82
Hg 0.7500 0.8236 0.6471  1 Mg 2.78, 1 Sn 2.98
Hg 0.0000 0.2837 0.0000  2 Mg 2.82, 2 Sn 2.99
Rb 0.2500 0.7160 0.4321  8 Hg 3.73-4.06, 1 Mg 3.87, 2 Sn 4.01
Sn 0.2500 0.3825 0.7650  5 Hg 2.98-2.99

## Properties
Energy ... -16.07 eV per cell
Fermi-level density of states ... 2.0 states/eV/f.u.
DFT formation energy ... -0.6 eV/f.u.